# PBE KY2Ag, optimized geometry
data_KY2Ag
_symmetry_space_group_name_H-M 'I 4/m m m'
_symmetry_Int_Tables_number 139
_symmetry_space_group_name_Hall '-I 4 2'
_cell_length_a 4.753
_cell_length_b 4.753
_cell_length_c 11.184
_cell_angle_alpha 90.00
_cell_angle_beta 90.00
_cell_angle_gamma 90.00
loop_
_atom_site_label
_atom_site_type_symbol
_atom_site_fract_x
_atom_site_fract_y
_atom_site_fract_z
K1 K 0.000 0.000 0.000
Y1 Y 0.000 0.500 0.250
Ag1 Ag 0.000 0.000 0.500
# DFT formation energy: 1.7 eV per formula unit